! NpCoGe | Alexandria | PBE | optimized geometry; values from VASP
! Magnetization = 2.17 μB/f.u.
! ρ = 10.930 g cm⁻³
! Energy of formation from the pure elements = -0.12 eV per atom
! Volume = 56 Å³ per cell
! VASP energy = -25.03 eV per formula unit
&SYSTEM
  ibrav = 0, nat = 3, ntyp = 3
/
ATOMIC_SPECIES
Co 58.93 Co.upf
Ge 72.64 Ge.upf
Np 237.00 Np.upf
CELL_PARAMETERS angstrom
4.294 0.000 0.000
2.147 3.719 0.000
2.147 1.240 3.506
ATOMIC_POSITIONS crystal
Co 0.250 0.250 0.250
Ge 0.000 0.000 0.000
Np 0.500 0.500 0.500